(1)
# Pr2Dy2Sb3, relaxed, DFT PBE
data_Pr2Dy2Sb3
_chemical_formula_sum 'Pr8 Dy8 Sb12'
_space_group_name_H-M_alt 'I 21 3'
_space_group_IT_number 199
_space_group_name_Hall 'I 2b 2c 3'
_cell_length_a 9.3897
_cell_length_b 9.3897
_cell_length_c 9.3897
_cell_angle_alpha 90.00
_cell_angle_beta 90.00
_cell_angle_gamma 90.00
loop_
_atom_site_label
_atom_site_type_symbol
_atom_site_fract_x
_atom_site_fract_y
_atom_site_fract_z
Pr1 Pr 0.0747 0.0747 0.0747
Dy1 Dy 0.1812 0.3188 0.6812
Sb1 Sb 0.0000 0.2500 0.3840
# Crystal system ... cubic
# Magnetic moment ... 0.0 Bohr magnetons per cell
# Uncorrected energy ... -0.201 Ha/atom
# Formation energy (no corrections) ... -1015 meV per atom



(2)
# CaSiW2, relaxed, DFT PBE
data_CaSiW2
_chemical_formula_sum 'Ca1 Si1 W2'
_space_group_name_H-M_alt 'P 4 m m'
_space_group_IT_number 99
_space_group_name_Hall 'P 4 -2'
_cell_length_a 3.2704
_cell_length_b 3.2704
_cell_length_c 7.0290
_cell_angle_alpha 90.00
_cell_angle_beta 90.00
_cell_angle_gamma 90.00
loop_
_atom_site_label
_atom_site_type_symbol
_atom_site_fract_x
_atom_site_fract_y
_atom_site_fract_z
Ca1 Ca 0.0000 0.0000 0.0000
Si1 Si 0.5000 0.5000 0.2971
W1 W 0.0000 0.0000 0.4878
W2 W 0.5000 0.5000 0.6799
# Crystal system ... tetragonal
# Magnetic moment ... 0.0 Bohr magnetons per cell
# Uncorrected energy ... -0.299 Ha/atom
# Formation energy (no corrections) ... 203 meV per atom



(3)
# CsBa2InI8, relaxed, DFT PBE
data_CsBa2InI8
_chemical_formula_sum 'Cs1 Ba2 In1 I8'
_space_group_name_H-M_alt 'P -1'
_space_group_IT_number 2
_space_group_name_Hall '-P 1'
_cell_length_a 7.6893
_cell_length_b 7.7789
_cell_length_c 10.6643
_cell_angle_alpha 89.95
_cell_angle_beta 89.93
_cell_angle_gamma 89.99
loop_
_atom_site_label
_atom_site_type_symbol
_atom_site_fract_x
_atom_site_fract_y
_atom_site_fract_z
Cs1 Cs 0.0000 0.0000 0.0000
Ba1 Ba 0.4993 0.4999 0.2588
In1 In 0.0000 0.0000 0.5000
I1 I 0.2269 0.8598 0.6966
I2 I 0.2278 0.3282 0.5006
I3 I 0.2284 0.8616 0.3032
I4 I 0.2543 0.4043 0.0000
# Crystal system ... triclinic
# Magnetic moment ... 0.0 Bohr magnetons per cell
# Uncorrected energy ... -0.106 Ha/atom
# Formation energy (no corrections) ... -1242 meV per atom



(4)
# Li4CaHo, relaxed, DFT PBE
data_Li4CaHo
_chemical_formula_sum 'Li16 Ca4 Ho4'
_space_group_name_H-M_alt 'F -4 3 m'
_space_group_IT_number 216
_space_group_name_Hall 'F -4 2 3'
_cell_length_a 8.4786
_cell_length_b 8.4786
_cell_length_c 8.4786
_cell_angle_alpha 90.00
_cell_angle_beta 90.00
_cell_angle_gamma 90.00
loop_
_atom_site_label
_atom_site_type_symbol
_atom_site_fract_x
_atom_site_fract_y
_atom_site_fract_z
Li1 Li 0.1253 0.1253 0.1253
Ca1 Ca 0.2500 0.2500 0.7500
Ho1 Ho 0.0000 0.0000 0.5000
# Calculated formation energy ... 0.09 eV/atom
# Crystal system ... cubic
# Magnetic moment ... 0.0 Bohr magnetons per cell
# Uncorrected energy ... -0.084 Ha/atom



(5)
# NiPtRh2, relaxed, DFT PBE
data_NiPtRh2
_chemical_formula_sum 'Ni1 Pt1 Rh2'
_space_group_name_H-M_alt 'P m m 2'
_space_group_IT_number 25
_space_group_name_Hall 'P 2 -2'
_cell_length_a 2.7233
_cell_length_b 3.7573
_cell_length_c 5.4270
_cell_angle_alpha 90.00
_cell_angle_beta 90.00
_cell_angle_gamma 90.00
loop_
_atom_site_label
_atom_site_type_symbol
_atom_site_fract_x
_atom_site_fract_y
_atom_site_fract_z
Ni1 Ni 0.0000 0.0000 0.0000
Pt1 Pt 0.5000 0.5000 0.2444
Rh1 Rh 0.0000 0.0000 0.5113
Rh2 Rh 0.5000 0.5000 0.7560
# Calculated formation energy ... -0.01 eV/atom
# Crystal system ... orthorhombic
# Magnetic moment ... 0.7 Bohr magnetons per cell
# Uncorrected energy ... -0.244 Ha/atom



(6)
# Li2BePd3, relaxed, DFT PBE
data_Li2BePd3
_chemical_formula_sum 'Li8 Be4 Pd12'
_space_group_name_H-M_alt 'C m m m'
_space_group_IT_number 65
_space_group_name_Hall '-C 2 2'
_cell_length_a 4.1212
_cell_length_b 12.3498
_cell_length_c 5.9399
_cell_angle_alpha 90.00
_cell_angle_beta 90.00
_cell_angle_gamma 90.00
loop_
_atom_site_label
_atom_site_type_symbol
_atom_site_fract_x
_atom_site_fract_y
_atom_site_fract_z
Li1 Li 0.0000 0.0000 0.0000
Li2 Li 0.0000 0.0000 0.5000
Li3 Li 0.0000 0.3338 0.0000
Be1 Be 0.0000 0.3372 0.5000
Pd1 Pd 0.0000 0.1712 0.2672
Pd2 Pd 0.0000 0.5000 0.2617
# Calculated formation energy ... -0.50 eV/atom
# Crystal system ... orthorhombic
# Excess energy over the best structure of this formula in the dataset ... 0 meV per atom
# Magnetic moment ... 0.0 Bohr magnetons per cell
# Uncorrected energy ... -0.160 Ha/atom



(7)
# La3Zn8Ru3, relaxed, DFT PBE
data_La3Zn8Ru3
_chemical_formula_sum 'La6 Zn16 Ru6'
_space_group_name_H-M_alt 'I m m m'
_space_group_IT_number 71
_space_group_name_Hall '-I 2 2'
_cell_length_a 4.3757
_cell_length_b 9.9315
_cell_length_c 12.5243
_cell_angle_alpha 90.00
_cell_angle_beta 90.00
_cell_angle_gamma 90.00
loop_
_atom_site_label
_atom_site_type_symbol
_atom_site_fract_x
_atom_site_fract_y
_atom_site_fract_z
La1 La 0.0000 0.0000 0.0000
La2 La 0.0000 0.0000 0.3419
Zn1 Zn 0.0000 0.2748 0.1170
Zn2 Zn 0.0000 0.3583 0.3265
Ru1 Ru 0.0000 0.2233 0.5000
Ru2 Ru 0.0000 0.5000 0.0000
# Calculated formation energy ... -0.26 eV/atom
# Crystal system ... orthorhombic
# Magnetic moment ... 0.0 Bohr magnetons per cell
# Uncorrected energy ... -0.148 Ha/atom



(8)
# PmPaInSn, relaxed, DFT PBE
data_PmPaInSn
_chemical_formula_sum 'Pm4 Pa4 In4 Sn4'
_space_group_name_H-M_alt 'F -4 3 m'
_space_group_IT_number 216
_space_group_name_Hall 'F -4 2 3'
_cell_length_a 7.6183
_cell_length_b 7.6183
_cell_length_c 7.6183
_cell_angle_alpha 90.00
_cell_angle_beta 90.00
_cell_angle_gamma 90.00
loop_
_atom_site_label
_atom_site_type_symbol
_atom_site_fract_x
_atom_site_fract_y
_atom_site_fract_z
Pm1 Pm 0.0000 0.0000 0.0000
Pa1 Pa 0.0000 0.0000 0.5000
In1 In 0.2500 0.2500 0.2500
Sn1 Sn 0.2500 0.2500 0.7500
# Calculated formation energy ... -0.18 eV/atom
# Crystal system ... cubic
# Magnetic moment ... 8.6 Bohr magnetons per cell
# Uncorrected energy ... -0.199 Ha/atom